Material: Sr2FeOs
Method: DFT, PBE-GGA
State: optimized geometry

Results
- energy (eV per atom) = -5.25

abc: 3.9465 5.1066 10.4034
angles: 90.00 90.00 90.00
With the nearest neighbours (Å) after each atom.
Space group Imm2 (No. 44)
Asymmetric unit:
Sr 0.0000 0.0000 0.0000 (multiplicity 2)  2 Fe 3.26, 4 Os 3.37, 4 Sr 3.40-3.56
Sr 0.0000 0.5000 0.2154 (multiplicity 2)  2 Os 3.25, 4 Fe 3.36, 4 Sr 3.40-3.56
Fe 0.0000 0.5000 0.8051 (multiplicity 2)  2 Os 2.24
Os 0.0000 0.0000 0.4080 (multiplicity 2)  2 Fe 2.24